--- one ---
TiReS2Cl | PBE-GGA | relaxed

Values from the calculation:
total moment = 5.797 μB per formula unit

Lattice parameters (Å, degrees): 4.7776 4.7776 4.7013 90.00 90.00 90.00
Each line ends with the local moment (μB).
Fractional coordinates of all 5 atoms:
Re1 0.5000 0.5000 0.5000  4.17
S1 0.0000 0.5000 0.0000  0.00
S2 0.5000 0.0000 0.0000  0.00
Cl1 0.0000 0.0000 0.5000  0.06
Ti1 0.0000 0.0000 0.0000  0.49

=====

--- two ---
TiReS2Cl | PBE-GGA | relaxed

Values from the calculation:
total moment = 0.330 μB per formula unit

Lattice parameters (Å, degrees): 4.5897 4.5897 4.9059 90.00 90.00 90.00
Each line ends with the local moment (μB).
Fractional coordinates of all 5 atoms:
Re1 0.0000 0.0000 0.0000  0.32
S1 0.0000 0.5000 0.0000  0.00
S2 0.5000 0.0000 0.0000  0.00
Cl1 0.0000 0.0000 0.5000  0.01
Ti1 0.5000 0.5000 0.5000  -0.04

=====

Question: which arrangement is favored energetically? Ranking from most to least stable: one, two.

=====

--- one ---
TlReSCl2 | PBE-GGA | relaxed

Values from the calculation:
total moment = 5.605 μB per formula unit

Lattice parameters (Å, degrees): 5.2952 5.2952 5.2098 90.00 90.00 90.00
Each line ends with the local moment (μB).
Fractional coordinates of all 5 atoms:
Re1 0.5000 0.5000 0.5000  4.41
Tl1 0.0000 0.0000 0.0000  0.01
S1 0.0000 0.0000 0.5000  -0.03
Cl1 0.0000 0.5000 0.0000  0.05
Cl2 0.5000 0.0000 0.0000  0.05

=====

--- two ---
TlReSCl2 | PBE-GGA | relaxed

Values from the calculation:
total moment = 0.617 μB per formula unit

Lattice parameters (Å, degrees): 5.0983 5.0983 4.5011 90.00 90.00 90.00
Each line ends with the local moment (μB).
Fractional coordinates of all 5 atoms:
Re1 0.0000 0.0000 0.0000  0.51
Tl1 0.5000 0.5000 0.5000  0.00
S1 0.0000 0.0000 0.5000  -0.02
Cl1 0.0000 0.5000 0.0000  0.02
Cl2 0.5000 0.0000 0.0000  0.02

=====

Question: which arrangement is favored energetically? Ranking from most to least stable: two, one.

=====

--- one ---
TlReS2Cl | PBE-GGA | relaxed

Values from the calculation:
total moment = 4.799 μB per formula unit

Lattice parameters (Å, degrees): 5.1487 5.1487 5.1385 90.00 90.00 90.00
Each line ends with the local moment (μB).
Fractional coordinates of all 5 atoms:
Re1 0.5000 0.5000 0.5000  4.20
Tl1 0.0000 0.0000 0.0000  0.00
S1 0.0000 0.5000 0.0000  -0.12
S2 0.5000 0.0000 0.0000  -0.12
Cl1 0.0000 0.0000 0.5000  0.06

=====

--- two ---
TlReS2Cl | PBE-GGA | relaxed

Values from the calculation:
total moment = 0.000 μB per formula unit

Lattice parameters (Å, degrees): 4.6074 4.6074 5.3069 90.00 90.00 90.00
Fractional coordinates of all 5 atoms:
Re1 0.0000 0.0000 0.0000
Tl1 0.5000 0.5000 0.5000
S1 0.0000 0.5000 0.0000
S2 0.5000 0.0000 0.0000
Cl1 0.0000 0.0000 0.5000

=====

Question: which arrangement is favored energetically? Ranking from most to least stable: two, one.

=====

--- one ---
VReSCl2 | PBE-GGA | relaxed

Values from the calculation:
total moment = 0.214 μB per formula unit

Lattice parameters (Å, degrees): 4.9570 4.9570 4.4508 90.00 90.00 90.00
Each line ends with the local moment (μB).
Fractional coordinates of all 5 atoms:
Re1 0.0000 0.0000 0.0000  -0.04
S1 0.0000 0.0000 0.5000  0.00
Cl1 0.0000 0.5000 0.0000  -0.01
Cl2 0.5000 0.0000 0.0000  -0.01
V1 0.5000 0.5000 0.5000  0.22

=====

--- two ---
VReSCl2 | PBE-GGA | relaxed

Values from the calculation:
total moment = 5.816 μB per formula unit

Lattice parameters (Å, degrees): 4.7557 4.7557 4.6794 90.00 90.00 90.00
Each line ends with the local moment (μB).
Fractional coordinates of all 5 atoms:
Re1 0.5000 0.5000 0.5000  4.25
S1 0.0000 0.0000 0.5000  -0.01
Cl1 0.0000 0.5000 0.0000  0.07
Cl2 0.5000 0.0000 0.0000  0.07
V1 0.0000 0.0000 0.0000  0.34

=====

Question: which arrangement is favored energetically? Ranking from most to least stable: two, one.

=====

--- one ---
VReS2Cl | PBE-GGA | relaxed

Values from the calculation:
total moment = 6.906 μB per formula unit

Lattice parameters (Å, degrees): 4.6802 4.6802 4.6826 90.00 90.00 90.00
Each line ends with the local moment (μB).
Fractional coordinates of all 5 atoms:
Re1 0.5000 0.5000 0.5000  4.10
S1 0.0000 0.5000 0.0000  -0.06
S2 0.5000 0.0000 0.0000  -0.06
Cl1 0.0000 0.0000 0.5000  0.10
V1 0.0000 0.0000 0.0000  1.70

=====

--- two ---
VReS2Cl | PBE-GGA | relaxed

Values from the calculation:
total moment = 4.066 μB per formula unit

Lattice parameters (Å, degrees): 4.5559 4.5559 5.0592 90.00 90.00 90.00
Each line ends with the local moment (μB).
Fractional coordinates of all 5 atoms:
Re1 0.0000 0.0000 0.0000  0.35
S1 0.0000 0.5000 0.0000  -0.04
S2 0.5000 0.0000 0.0000  -0.04
Cl1 0.0000 0.0000 0.5000  -0.02
V1 0.5000 0.5000 0.5000  3.13

=====

Question: which arrangement is favored energetically? Ranking from most to least stable: two, one.

=====

--- one ---
ReWS2Cl | PBE-GGA | relaxed

Values from the calculation:
total moment = 5.828 μB per formula unit

Lattice parameters (Å, degrees): 4.6974 4.6974 4.9056 90.00 90.00 90.00
Each line ends with the local moment (μB).
Fractional coordinates of all 5 atoms:
Re1 0.5000 0.5000 0.5000  4.25
S1 0.0000 0.5000 0.0000  0.05
S2 0.5000 0.0000 0.0000  0.05
W1 0.0000 0.0000 0.0000  0.26
Cl1 0.0000 0.0000 0.5000  0.08

=====

--- two ---
ReWS2Cl | PBE-GGA | relaxed

Values from the calculation:
total moment = 4.768 μB per formula unit

Lattice parameters (Å, degrees): 4.5976 4.5976 4.9054 90.00 90.00 90.00
Each line ends with the local moment (μB).
Fractional coordinates of all 5 atoms:
Re1 0.0000 0.0000 0.0000  0.31
S1 0.0000 0.5000 0.0000  -0.06
S2 0.5000 0.0000 0.0000  -0.06
W1 0.5000 0.5000 0.5000  3.32
Cl1 0.0000 0.0000 0.5000  0.04

=====

Question: which arrangement is favored energetically? Ranking from most to least stable: one, two.

=====

--- one ---
YReSCl2 | PBE-GGA | relaxed

Values from the calculation:
total moment = 5.986 μB per formula unit

Lattice parameters (Å, degrees): 5.2857 5.2857 5.3003 90.00 90.00 90.00
Each line ends with the local moment (μB).
Fractional coordinates of all 5 atoms:
Y1 0.0000 0.0000 0.0000  0.01
Re1 0.5000 0.5000 0.5000  4.47
S1 0.0000 0.0000 0.5000  0.13
Cl1 0.0000 0.5000 0.0000  0.05
Cl2 0.5000 0.0000 0.0000  0.05

=====

--- two ---
YReSCl2 | PBE-GGA | relaxed

Values from the calculation:
total moment = 0.000 μB per formula unit

Lattice parameters (Å, degrees): 4.8323 4.8323 4.5795 90.00 90.00 90.00
Fractional coordinates of all 5 atoms:
Y1 0.5000 0.5000 0.5000
Re1 0.0000 0.0000 0.0000
S1 0.0000 0.0000 0.5000
Cl1 0.0000 0.5000 0.0000
Cl2 0.5000 0.0000 0.0000

=====

Question: which arrangement is favored energetically? Ranking from most to least stable: two, one.

=====

--- one ---
ZnReS2Cl | PBE-GGA | relaxed

Values from the calculation:
total moment = 0.000 μB per formula unit

Lattice parameters (Å, degrees): 4.5708 4.5708 5.0954 90.00 90.00 90.00
Fractional coordinates of all 5 atoms:
Re1 0.0000 0.0000 0.0000
Zn1 0.5000 0.5000 0.5000
S1 0.0000 0.5000 0.0000
S2 0.5000 0.0000 0.0000
Cl1 0.0000 0.0000 0.5000

=====

--- two ---
ZnReS2Cl | PBE-GGA | relaxed

Values from the calculation:
total moment = 4.154 μB per formula unit

Lattice parameters (Å, degrees): 4.7572 4.7572 4.5583 90.00 90.00 90.00
Each line ends with the local moment (μB).
Fractional coordinates of all 5 atoms:
Re1 0.5000 0.5000 0.5000  3.80
Zn1 0.0000 0.0000 0.0000  0.00
S1 0.0000 0.5000 0.0000  -0.18
S2 0.5000 0.0000 0.0000  -0.18
Cl1 0.0000 0.0000 0.5000  0.08

=====

Question: which arrangement is favored energetically? Ranking from most to least stable: one, two.